5
Lattice="-3.698 -1.564 -1.233 1.444 -0.317 -3.931 1.366 -3.872 0.814" Properties=species:S:1:pos:R:3 comment="IrIN2F, relaxed, DFT PBE-GGA" e_above_lowest_polymorph_mev_per_atom=1514 crystal_system=tetragonal raw_formation_energy_mev_per_atom=2174.6 spacegroup=P4/mmm pbc="T T T"
F 0.683 -1.936 0.407
Ir -0.444 -2.877 -2.175
N -1.849 -0.782 -0.616
N 0.722 -0.159 -1.965
I 0.000 0.000 0.000